## Pm3Th3Ge4 (PBE)

Data for a relaxed structure of Pm3Th3Ge4.

abc: 4.131 8.006 8.006
angles: 90.04 90.00 90.00
Element x y z (fractional)
Pm  0.500  0.829  0.171
Pm  0.500  0.331  0.331
Pm  0.500  0.669  0.669
Th  0.000  0.498  0.000
Th  0.000  0.000  0.502
Th  0.500  0.172  0.828
Ge  0.000  0.629  0.371
Ge  0.000  0.372  0.628
Ge  0.000  0.871  0.872
Ge  0.000  0.128  0.129

Computed properties:
SG: Amm2

## Ho4Tl5In (PBE)

Data for a relaxed structure of Ho4Tl5In.

abc: 7.717 10.270 7.563
angles: 90.00 90.00 90.00
Element x y z (fractional)
Ho  0.797  0.000  0.747
Ho  0.518  0.684  0.000
Ho  0.518  0.316  0.000
Ho  0.797  0.000  0.253
Ho  0.203  0.500  0.247
Ho  0.482  0.816  0.500
Ho  0.482  0.184  0.500
Ho  0.203  0.500  0.753
Tl  0.186  0.806  0.800
Tl  0.186  0.194  0.800
Tl  0.885  0.500  0.000
Tl  0.186  0.806  0.200
Tl  0.186  0.194  0.200
Tl  0.814  0.694  0.300
Tl  0.814  0.306  0.300
Tl  0.115  0.000  0.500
Tl  0.814  0.306  0.700
Tl  0.814  0.694  0.700
In  0.469  0.000  0.000
In  0.531  0.500  0.500

Computed properties:
SG: Pmmn
ΔE to the lowest computed polymorph: 5.967 kcal/mol of atoms

Calculated VASP energy, -6.1974; -3.3234 eV/atom (same order as the records).